(1)
## SrCe2MoO8 (PBE+U)

Data for SrCe2MoO8 after structural relaxation.

Cell and atoms, written as POSCAR:
```
SrCe2MoO8
1.0
-0.983 -3.384 3.702
3.775 1.944 2.838
-4.552 4.542 2.944
O Ce Sr Mo
8 2 1 1
Cartesian
-3.746 1.253 5.906
-2.533 3.504 7.667
-0.765 4.596 5.357
0.773 -0.402 1.816
-1.365 1.796 3.615
1.987 1.850 3.577
-0.395 1.307 5.868
-0.995 -1.493 4.126
-2.030 2.699 5.485
0.270 0.404 3.998
-2.276 2.271 1.472
0.000 0.000 0.000
```

Properties
Space group = P2/m, No. 10
Uncorrected energy = -7.7022 eV per atom

---

(2)
## FeCl3O (PBE+U)

Data for FeCl3O after structural relaxation.

Cell and atoms, written as POSCAR:
```
FeCl3O
1.0
-2.547 1.675 -3.312
-3.711 -1.140 2.278
0.009 4.020 2.026
Cl Fe O
3 1 1
Cartesian
-1.856 -0.570 1.139
0.004 2.010 1.013
-1.274 0.837 -1.656
-3.125 2.277 0.496
0.000 0.000 0.000
```

Properties
Space group = Pm-3m, No. 221
Uncorrected energy = -2.5102 eV per atom
Offset from the most stable computed form = 583.7 meV per atom